Material: DyMgIrRh
Method: DFT, PBE
State: optimized geometry

The calculation puts the raw total energy at -6.24 eV/atom. The total moment comes out at 0.000 μB/atom. Its crystal system is cubic. The calculation puts the formation energy at -0.639 eV/atom.

Lattice parameters (Å, degrees): 6.569 6.569 6.569 90.00 90.00 90.00
Space group F-43m (No. 216)
Inequivalent atoms, fractional coordinates:
Dy (0.000, 0.000, 0.000)
Mg (0.000, 0.000, 0.500)
Ir (0.250, 0.250, 0.750)
Rh (0.250, 0.250, 0.250)



Material: DyMgScIr
Method: DFT, PBE
State: optimized geometry

The calculation puts the raw total energy at -5.83 eV/atom. The total moment comes out at 0.000 μB/atom. Its crystal system is cubic. The calculation puts the formation energy at -0.480 eV/atom.

Lattice parameters (Å, degrees): 6.907 6.907 6.907 90.00 90.00 90.00
Space group F-43m (No. 216)
Inequivalent atoms, fractional coordinates:
Dy (0.000, 0.000, 0.000)
Mg (0.250, 0.250, 0.250)
Sc (0.000, 0.000, 0.500)
Ir (0.250, 0.250, 0.750)



Material: Dy2MgSi2Ir5
Method: DFT, PBE
State: optimized geometry

The calculation puts the raw total energy at -7.42 eV/atom. The total moment comes out at 0.000 μB/atom. The calculation puts the uncorrected formation energy at -826 meV per atom. Its crystal system is tetragonal.

Lattice parameters (Å, degrees): 9.820 9.820 3.474 90.00 90.00 90.00
Space group P4/mbm (No. 127)
Inequivalent atoms, fractional coordinates:
Dy (0.175, 0.325, 0.000)
Mg (0.000, 0.000, 0.000)
Si (0.125, 0.625, 0.000)
Ir (0.000, 0.500, 0.500)
Ir (0.068, 0.786, 0.500)



Material: Dy2MgSi3Ir4
Method: DFT, PBE
State: optimized geometry

The calculation puts the raw total energy at -7.19 eV/atom. The total moment comes out at 0.000 μB/atom. The calculation puts the uncorrected formation energy at -937 meV per atom. Its crystal system is tetragonal.

Lattice parameters (Å, degrees): 4.090 4.090 10.365 90.00 90.00 90.00
Space group P-4m2 (No. 115)
Inequivalent atoms, fractional coordinates:
Dy (0.000, 0.500, 0.244)
Mg (0.000, 0.000, 0.500)
Si (0.000, 0.500, 0.875)
Si (0.500, 0.500, 0.500)
Ir (0.000, 0.000, 0.000)
Ir (0.000, 0.500, 0.647)
Ir (0.500, 0.500, 0.000)



Material: DyMgZnIr
Method: DFT, PBE
State: optimized geometry

The calculation puts the raw total energy at -4.51 eV/atom. The total moment comes out at 0.000 μB/atom. Its crystal system is cubic. The calculation puts the formation energy at -0.427 eV/atom.

Lattice parameters (Å, degrees): 6.704 6.704 6.704 90.00 90.00 90.00
Space group F-43m (No. 216)
Inequivalent atoms, fractional coordinates:
Dy (0.000, 0.000, 0.000)
Mg (0.000, 0.000, 0.500)
Zn (0.250, 0.250, 0.250)
Ir (0.250, 0.250, 0.750)



Material: DyMgZrIr
Method: DFT, PBE
State: optimized geometry

The calculation puts the raw total energy at -6.26 eV/atom. The total moment comes out at 0.000 μB/atom. Its crystal system is cubic. The calculation puts the formation energy at -0.358 eV/atom.

Lattice parameters (Å, degrees): 6.920 6.920 6.920 90.00 90.00 90.00
Space group F-43m (No. 216)
Inequivalent atoms, fractional coordinates:
Dy (0.000, 0.000, 0.000)
Mg (0.250, 0.250, 0.250)
Zr (0.000, 0.000, 0.500)
Ir (0.250, 0.250, 0.750)



Material: DyMnIr2
Method: DFT, PBE
State: optimized geometry

The calculation puts the raw total energy at -8.18 eV/atom. The total moment comes out at 0.798 μB/atom. Its crystal system is trigonal. The calculation puts the formation energy at -0.303 eV/atom.

Lattice parameters (Å, degrees): 4.3167 4.3167 14.0978 90.00 90.00 120.00
Space group R-3m (No. 166, hexagonal axes)
Inequivalent atoms, fractional coordinates:
Dy (0.0000, 0.0000, 0.0000)
Mn (0.0000, 0.0000, 0.5000)
Ir (0.0000, 0.0000, 0.2056)



Material: DyMnIr
Method: DFT, PBE
State: optimized geometry

The calculation puts the raw total energy at -7.58 eV/atom. The total moment comes out at 0.000 μB/atom. Its crystal system is tetragonal. The calculation puts the formation energy at -0.035 eV/atom.

Lattice parameters (Å, degrees): 7.061 7.061 5.533 90.00 90.00 90.00
Space group P4_12_12 (No. 92)
Inequivalent atoms, fractional coordinates:
Dy (0.216, 0.216, 0.000)
Mn (0.101, 0.101, 0.500)
Ir (0.163, 0.837, 0.750)